Material: YTm4Th6
Method: DFT, GGA-PBE
State: relaxed

## Properties
energy relative to the elements	422	meV/atom
size of the total moment	0.00	μB per cell
calculated volume	33.20	Å³/atom

Lattice parameters (Å, degrees): 10.041 10.041 10.041 142.95 142.95 53.40
Element x y z (fractional)
1 Y 0.000 0.000 0.000
2 Tm 0.189 0.189 0.632
3 Tm 0.443 0.811 0.000
4 Tm 0.557 0.557 0.368
5 Tm 0.811 0.443 0.000
6 Th 0.000 0.000 0.624
7 Th 0.000 0.500 0.500
8 Th 0.000 0.623 0.000
9 Th 0.377 0.377 0.376
10 Th 0.500 0.000 0.500
11 Th 0.623 0.000 0.000

***

Material: Y5Tm6Th2
Method: DFT, GGA-PBE
State: relaxed

## Properties
energy relative to the elements	108	meV/atom
size of the total moment	0.00	μB per cell
calculated volume	32.00	Å³/atom

Lattice parameters (Å, degrees): 11.411 20.626 3.535 90.00 90.00 90.00
Element x y z (fractional)
1 Y 0.000 0.000 0.000
2 Y 0.067 0.294 0.000
3 Y 0.191 0.577 0.000
4 Y 0.309 0.077 0.000
5 Y 0.433 0.794 0.000
6 Y 0.500 0.500 0.000
7 Y 0.567 0.206 0.000
8 Y 0.691 0.923 0.000
9 Y 0.809 0.423 0.000
10 Y 0.933 0.706 0.000
11 Tm 0.062 0.148 0.500
12 Tm 0.080 0.438 0.500
13 Tm 0.186 0.878 0.000
14 Tm 0.314 0.378 0.000
15 Tm 0.420 0.938 0.500
16 Tm 0.438 0.648 0.500
17 Tm 0.562 0.352 0.500
18 Tm 0.580 0.062 0.500
19 Tm 0.686 0.622 0.000
20 Tm 0.814 0.122 0.000
21 Tm 0.920 0.562 0.500
22 Tm 0.938 0.852 0.500
23 Th 0.189 0.736 0.500
24 Th 0.311 0.236 0.500
25 Th 0.689 0.764 0.500
26 Th 0.811 0.264 0.500

***

Material: YTm14Th
Method: DFT, GGA-PBE
State: relaxed

## Properties
energy relative to the elements	58	meV/atom
size of the total moment	0.00	μB per cell
calculated volume	30.48	Å³/atom

Lattice parameters (Å, degrees): 10.915 6.845 6.845 72.45 90.00 90.00
Element x y z (fractional)
1 Y 0.000 0.000 0.000
2 Tm 0.000 0.516 0.926
3 Tm 0.000 0.926 0.516
4 Tm 0.233 0.208 0.208
5 Tm 0.251 0.138 0.716
6 Tm 0.251 0.716 0.138
7 Tm 0.268 0.649 0.649
8 Tm 0.500 0.344 0.935
9 Tm 0.500 0.413 0.413
10 Tm 0.500 0.861 0.861
11 Tm 0.500 0.935 0.344
12 Tm 0.732 0.649 0.649
13 Tm 0.749 0.138 0.716
14 Tm 0.749 0.716 0.138
15 Tm 0.767 0.208 0.208
16 Th 0.000 0.436 0.436

***

Material: YTm2Th3
Method: DFT, GGA-PBE
State: relaxed

## Properties
energy relative to the elements	128	meV/atom
size of the total moment	0.00	μB per cell
calculated volume	32.01	Å³/atom
energy relative to the lowest polymorph listed for this composition	0.53	eV per formula unit

Lattice parameters (Å, degrees): 8.277 8.277 9.306 114.95 114.95 42.51
Element x y z (fractional)
1 Y 0.128 0.128 0.125
2 Y 0.872 0.872 0.875
3 Tm 0.208 0.208 0.547
4 Tm 0.462 0.462 0.791
5 Tm 0.538 0.538 0.209
6 Tm 0.792 0.792 0.453
7 Th 0.045 0.045 0.702
8 Th 0.288 0.288 0.964
9 Th 0.380 0.380 0.374
10 Th 0.620 0.620 0.626
11 Th 0.712 0.712 0.036
12 Th 0.955 0.955 0.298

***

Material: Y6TmTh2
Method: DFT, GGA-PBE
State: relaxed

## Properties
energy relative to the elements	205	meV/atom
size of the total moment	0.00	μB per cell
calculated volume	32.91	Å³/atom
energy relative to the lowest polymorph listed for this composition	1.21	eV per formula unit

Lattice parameters (Å, degrees): 5.957 5.957 15.410 97.77 97.77 33.17
Element x y z (fractional)
1 Y 0.038 0.038 0.228
2 Y 0.288 0.288 0.105
3 Y 0.375 0.375 0.562
4 Y 0.625 0.625 0.438
5 Y 0.712 0.712 0.895
6 Y 0.962 0.962 0.772
7 Tm 0.000 0.000 0.000
8 Th 0.331 0.331 0.332
9 Th 0.669 0.669 0.668

***

Material: Y2Tm4Th
Method: DFT, GGA-PBE
State: relaxed

## Properties
energy relative to the elements	314	meV/atom
size of the total moment	0.00	μB per cell
calculated volume	32.41	Å³/atom
energy relative to the lowest polymorph listed for this composition	2.06	eV per formula unit

Lattice parameters (Å, degrees): 8.940 8.940 8.940 136.78 101.53 94.10
Element x y z (fractional)
1 Y 0.000 0.000 0.000
2 Y 0.473 0.223 0.250
3 Y 0.500 0.000 0.500
4 Y 0.527 0.777 0.750
5 Tm 0.135 0.641 0.494
6 Tm 0.262 0.284 0.523
7 Tm 0.262 0.739 0.977
8 Tm 0.352 0.359 0.994
9 Tm 0.648 0.641 0.006
10 Tm 0.738 0.261 0.023
11 Tm 0.738 0.716 0.477
12 Tm 0.865 0.359 0.506
13 Th 0.000 0.000 0.500
14 Th 0.000 0.500 0.000

***

Material: YTm12Th7
Method: DFT, GGA-PBE
State: relaxed

## Properties
energy relative to the elements	269	meV/atom
size of the total moment	0.00	μB per cell
calculated volume	32.18	Å³/atom

Lattice parameters (Å, degrees): 8.649 8.649 8.649 86.53 86.53 86.53
Element x y z (fractional)
1 Y 0.000 0.000 0.000
2 Tm 0.133 0.622 0.497
3 Tm 0.143 0.277 0.741
4 Tm 0.259 0.857 0.723
5 Tm 0.277 0.741 0.143
6 Tm 0.378 0.503 0.867
7 Tm 0.497 0.133 0.622
8 Tm 0.503 0.867 0.378
9 Tm 0.622 0.497 0.133
10 Tm 0.723 0.259 0.857
11 Tm 0.741 0.143 0.277
12 Tm 0.857 0.723 0.259
13 Tm 0.867 0.378 0.503
14 Th 0.079 0.394 0.155
15 Th 0.155 0.079 0.394
16 Th 0.394 0.155 0.079
17 Th 0.500 0.500 0.500
18 Th 0.606 0.845 0.921
19 Th 0.845 0.921 0.606
20 Th 0.921 0.606 0.845

***

Material: YTm2Th
Method: DFT, GGA-PBE
State: relaxed

## Properties
energy relative to the elements	23	meV/atom
size of the total moment	0.00	μB per cell
calculated volume	31.36	Å³/atom
energy relative to the lowest polymorph listed for this composition	0.08	eV per formula unit

Lattice parameters (Å, degrees): 3.541 3.541 10.002 90.00 90.00 90.00
Element x y z (fractional)
1 Y 0.000 0.000 0.000
2 Tm 0.500 0.500 0.256
3 Tm 0.500 0.500 0.744
4 Th 0.000 0.000 0.500

***

Material: Y2Tm12Th
Method: DFT, GGA-PBE
State: relaxed

## Properties
energy relative to the elements	104	meV/atom
size of the total moment	0.00	μB per cell
calculated volume	30.95	Å³/atom

Lattice parameters (Å, degrees): 3.533 5.536 23.796 90.00 94.20 90.00
Element x y z (fractional)
1 Y 0.142 0.000 0.281
2 Y 0.858 0.000 0.719
3 Tm 0.032 0.500 0.067
4 Tm 0.067 0.000 0.136
5 Tm 0.223 0.500 0.445
6 Tm 0.288 0.000 0.577
7 Tm 0.334 0.500 0.670
8 Tm 0.405 0.500 0.807
9 Tm 0.595 0.500 0.193
10 Tm 0.666 0.500 0.330
11 Tm 0.712 0.000 0.423
12 Tm 0.777 0.500 0.555
13 Tm 0.933 0.000 0.864
14 Tm 0.968 0.500 0.933
15 Th 0.500 0.000 0.000

***

Material: Y5Tm2Th2
Method: DFT, GGA-PBE
State: relaxed

## Properties
energy relative to the elements	304	meV/atom
size of the total moment	0.00	μB per cell
calculated volume	36.08	Å³/atom
energy relative to the lowest polymorph listed for this composition	0.34	eV per formula unit

Lattice parameters (Å, degrees): 11.745 11.745 8.284 104.34 104.34 17.07
Element x y z (fractional)
1 Y 0.000 0.000 0.000
2 Y 0.091 0.091 0.740
3 Y 0.303 0.303 0.431
4 Y 0.697 0.697 0.569
5 Y 0.909 0.909 0.260
6 Tm 0.154 0.154 0.196
7 Tm 0.846 0.846 0.804
8 Th 0.449 0.449 0.633
9 Th 0.551 0.551 0.367

***

Material: YTm2Th
Method: DFT, GGA-PBE
State: relaxed

## Properties
energy relative to the elements	40	meV/atom
size of the total moment	0.00	μB per cell
calculated volume	31.17	Å³/atom
energy relative to the lowest polymorph listed for this composition	0.15	eV per formula unit

Lattice parameters (Å, degrees): 5.021 5.021 4.946 90.00 90.00 90.00
Element x y z (fractional)
1 Y 0.000 0.000 0.000
2 Tm 0.000 0.500 0.500
3 Tm 0.500 0.000 0.500
4 Th 0.500 0.500 0.000

***

Material: YTm2Th
Method: DFT, GGA-PBE
State: relaxed

## Properties
energy relative to the elements	66	meV/atom
size of the total moment	0.00	μB per cell
calculated volume	31.41	Å³/atom
energy relative to the lowest polymorph listed for this composition	0.25	eV per formula unit

Lattice parameters (Å, degrees): 3.474 5.564 13.116 90.00 97.56 90.00
Element x y z (fractional)
1 Y 0.000 0.000 0.000
2 Y 0.171 0.500 0.349
3 Tm 0.246 0.000 0.492
4 Tm 0.436 0.500 0.868
5 Tm 0.556 0.500 0.115
6 Tm 0.626 0.000 0.256
7 Th 0.368 0.000 0.738
8 Th 0.808 0.500 0.617

***

- Look up the size of the total moment of the second one.
  0.00 μB per cell